1.
This record from Alexandria describes Th4CuRh12 after structural relaxation. The functional is PBE.

Results
Space-group type: Im-3m
ΔH_f (0 K), kJ per mole of atoms: -61.2
Volume, Å³/f.u.: 301.5

Unit cell a=7.317 b=7.317 c=7.317 alpha=109.47 beta=109.47 gamma=109.47
Fractional positions:
1 Th 0.000 0.000 0.500
2 Th 0.500 0.500 0.500
3 Th 0.500 0.000 0.000
4 Th 0.000 0.500 0.000
5 Rh 0.711 0.711 0.000
6 Rh 0.500 0.750 0.250
7 Rh 0.750 0.500 0.250
8 Rh 0.500 0.250 0.750
9 Rh 0.250 0.750 0.500
10 Rh 0.711 0.000 0.711
11 Rh 0.750 0.250 0.500
12 Rh 0.289 0.000 0.289
13 Rh 0.000 0.289 0.289
14 Rh 0.250 0.500 0.750
15 Rh 0.000 0.711 0.711
16 Rh 0.289 0.289 0.000
17 Cu 0.000 0.000 0.000

2.
This record from Alexandria describes ThCuRh after structural relaxation. The functional is PBE.

Results
Space-group type: C2/m
ΔH_f (0 K), kJ per mole of atoms: -53.3
Excess energy over the best structure of this formula in the dataset, eV/atom: 0.0000
Volume, Å³/f.u.: 59.7

Unit cell a=3.909 b=5.279 c=6.609 alpha=75.55 beta=72.80 gamma=68.27
Fractional positions:
1 Rh 0.839 0.648 0.674
2 Rh 0.161 0.352 0.326
3 Cu 0.829 0.288 0.054
4 Cu 0.171 0.712 0.946
5 Th 0.447 0.812 0.295
6 Th 0.553 0.188 0.705

3.
This record from Alexandria describes Th4CuRh after structural relaxation. The functional is PBE.

Results
Space-group type: P4/mcc
ΔH_f (0 K), kJ per mole of atoms: -32.4
Volume, Å³/f.u.: 155.7

Unit cell a=5.940 b=7.240 c=7.240 alpha=90.00 beta=90.00 gamma=90.00
Fractional positions:
1 Rh 0.750 0.000 0.000
2 Rh 0.250 0.000 0.000
3 Th 0.000 0.667 0.840
4 Th 0.500 0.840 0.667
5 Th 0.500 0.160 0.333
6 Th 0.500 0.333 0.840
7 Th 0.000 0.160 0.667
8 Th 0.000 0.333 0.160
9 Th 0.500 0.667 0.160
10 Th 0.000 0.840 0.333
11 Cu 0.250 0.500 0.500
12 Cu 0.750 0.500 0.500

4.
This record from Alexandria describes ThTlCuRh after structural relaxation. The functional is PBE.

Results
Space-group type: F-43m
ΔH_f (0 K), kJ per mole of atoms: -25.7
Volume, Å³/f.u.: 82.8

Unit cell a=4.892 b=4.892 c=4.892 alpha=60.00 beta=60.00 gamma=60.00
Fractional positions:
1 Tl 0.500 0.500 0.500
2 Rh 0.750 0.750 0.750
3 Cu 0.250 0.250 0.250
4 Th 0.000 0.000 0.000

5.
This record from Alexandria describes TmThCuRh after structural relaxation. The functional is PBE.

Results
Space-group type: F-43m
ΔH_f (0 K), kJ per mole of atoms: -50.1
Volume, Å³/f.u.: 86.1

Unit cell a=4.957 b=4.957 c=4.957 alpha=60.00 beta=60.00 gamma=60.00
Fractional positions:
1 Cu 0.250 0.250 0.250
2 Tm 0.500 0.500 0.500
3 Rh 0.750 0.750 0.750
4 Th 0.000 0.000 0.000

6.
This record from Alexandria describes Th2Zn2CuRh5 after structural relaxation. The functional is PBE.

Results
Space-group type: P4/mbm
ΔH_f (0 K), kJ per mole of atoms: -49.5
Volume, Å³/f.u.: 173.8

Unit cell a=3.693 b=9.701 c=9.701 alpha=90.00 beta=90.00 gamma=90.00
Fractional positions:
1 Zn 0.000 0.621 0.879
2 Zn 0.000 0.379 0.121
3 Zn 0.000 0.879 0.379
4 Zn 0.000 0.121 0.621
5 Th 0.000 0.321 0.821
6 Th 0.000 0.679 0.179
7 Th 0.000 0.179 0.321
8 Th 0.000 0.821 0.679
9 Rh 0.500 0.199 0.074
10 Rh 0.500 0.926 0.199
11 Rh 0.500 0.574 0.699
12 Rh 0.500 0.500 0.000
13 Rh 0.500 0.426 0.301
14 Rh 0.500 0.301 0.574
15 Rh 0.500 0.000 0.500
16 Rh 0.500 0.801 0.926
17 Rh 0.500 0.074 0.801
18 Rh 0.500 0.699 0.426
19 Cu 0.000 0.500 0.500
20 Cu 0.000 0.000 0.000

What are the electronic total energy values for these records? In order: -7.810 -6.842 -7.190 -5.575 -6.354 -6.337 eV per atom.